No. 1
# TcBPt, optimized geometry, DFT PBE-GGA
# Uncorrected energy (Ry per atom): -0.505
data_TcBPt
_chemical_formula_sum 'Tc4 B4 Pt4'
_cell_length_a 5.645
_cell_length_b 5.645
_cell_length_c 5.645
_cell_angle_alpha 90.00
_cell_angle_beta 90.00
_cell_angle_gamma 90.00
_symmetry_space_group_name_H-M 'F -4 3 m'
_symmetry_Int_Tables_number 216
_symmetry_space_group_name_Hall 'F -4 2 3'
loop_
_atom_site_label
_atom_site_fract_x
_atom_site_fract_y
_atom_site_fract_z
_atom_site_occupancy
Tc1 0.000 0.000 0.000 1
B1 0.250 0.250 0.750 1
Pt1 0.250 0.250 0.250 1

=====

No. 2
# Gd2YZn3AgAu2, optimized geometry, DFT PBE-GGA
# DFT formation energy (eV/atom): -0.58
data_Gd2YZn3AgAu2
_chemical_formula_sum 'Gd4 Y2 Zn6 Ag2 Au4'
_cell_length_a 3.841
_cell_length_b 13.140
_cell_length_c 7.591
_cell_angle_alpha 90.00
_cell_angle_beta 90.00
_cell_angle_gamma 90.00
_symmetry_space_group_name_H-M 'A m m 2'
_symmetry_Int_Tables_number 38
_symmetry_space_group_name_Hall 'A 2 -2'
loop_
_atom_site_label
_atom_site_fract_x
_atom_site_fract_y
_atom_site_fract_z
_atom_site_occupancy
Gd1 0.000 0.203 0.000 1
Y1 0.000 0.000 0.608 1
Zn1 0.500 0.000 0.942 1
Zn2 0.500 0.130 0.333 1
Ag1 0.000 0.000 0.203 1
Au1 0.500 0.166 0.702 1

=====

No. 3
# LiLu2Ir, optimized geometry, DFT PBE-GGA
# Distance to the lowest polymorph of the same formula (meV per atom): 342
data_LiLu2Ir
_chemical_formula_sum 'Li2 Lu4 Ir2'
_cell_length_a 4.9124
_cell_length_b 4.9124
_cell_length_c 8.1368
_cell_angle_alpha 90.00
_cell_angle_beta 90.00
_cell_angle_gamma 120.00
_symmetry_space_group_name_H-M 'P 63/m m c'
_symmetry_Int_Tables_number 194
_symmetry_space_group_name_Hall '-P 6c 2c'
loop_
_atom_site_label
_atom_site_fract_x
_atom_site_fract_y
_atom_site_fract_z
_atom_site_occupancy
Li1 0.0000 0.0000 0.0000 1
Lu1 0.3333 0.6667 0.0832 1
Ir1 0.3333 0.6667 0.7500 1

=====

No. 4
# Y2Ho2CI2BrCl2, optimized geometry, DFT PBE-GGA
# Distance to the lowest polymorph of the same formula (meV per atom): 24
data_Y2Ho2CI2BrCl2
_chemical_formula_sum 'Y4 Ho4 C2 I4 Br2 Cl4'
_cell_length_a 18.166
_cell_length_b 3.841
_cell_length_c 8.124
_cell_angle_alpha 90.00
_cell_angle_beta 101.00
_cell_angle_gamma 90.00
_symmetry_space_group_name_H-M 'C 1 2/m 1'
_symmetry_Int_Tables_number 12
_symmetry_space_group_name_Hall '-C 2y'
loop_
_atom_site_label
_atom_site_fract_x
_atom_site_fract_y
_atom_site_fract_z
_atom_site_occupancy
Y1 0.134 0.000 0.057 1
Ho1 0.002 0.500 0.801 1
C1 0.000 0.000 0.000 1
I1 0.167 0.500 0.349 1
Br1 0.000 0.000 0.500 1
Cl1 0.160 0.500 0.833 1

=====

No. 5
# PmLuPO, optimized geometry, DFT PBE-GGA
# Distance to the lowest polymorph of the same formula (meV per atom): 177
data_PmLuPO
_chemical_formula_sum 'Pm2 Lu2 P2 O2'
_cell_length_a 4.284
_cell_length_b 4.284
_cell_length_c 8.599
_cell_angle_alpha 90.00
_cell_angle_beta 90.00
_cell_angle_gamma 90.00
_symmetry_space_group_name_H-M 'P 4/n m m'
_symmetry_Int_Tables_number 129
loop_
_symmetry_equiv_pos_as_xyz
'x,y,z'
'-x,-y,-z'
'-y+1/2,x,z'
'y+1/2,-x,-z'
'-x+1/2,-y+1/2,z'
'x+1/2,y+1/2,-z'
'y,-x+1/2,z'
'-y,x+1/2,-z'
'x+1/2,-y,-z'
'-x+1/2,y,z'
'-y,-x,-z'
'y,x,z'
'-x,y+1/2,-z'
'x,-y+1/2,z'
'y+1/2,x+1/2,-z'
'-y+1/2,-x+1/2,z'
loop_
_atom_site_label
_atom_site_fract_x
_atom_site_fract_y
_atom_site_fract_z
_atom_site_occupancy
Pm1 0.250 0.750 0.000 1
Lu1 0.250 0.250 0.411 1
P1 0.250 0.250 0.787 1
O1 0.250 0.750 0.500 1

=====

No. 6
# Sr5Cd2Sb5F, optimized geometry, DFT PBE-GGA
# Uncorrected energy (Ry per atom): -0.273
data_Sr5Cd2Sb5F
_chemical_formula_sum 'Sr20 Cd8 Sb20 F4'
_cell_length_a 4.783
_cell_length_b 22.318
_cell_length_c 14.883
_cell_angle_alpha 90.00
_cell_angle_beta 90.00
_cell_angle_gamma 90.00
_symmetry_space_group_name_H-M 'C m c m'
_symmetry_Int_Tables_number 63
_symmetry_space_group_name_Hall '-C 2c 2'
loop_
_atom_site_label
_atom_site_fract_x
_atom_site_fract_y
_atom_site_fract_z
_atom_site_occupancy
Sr1 0.000 0.000 0.000 1
Sr2 0.000 0.098 0.250 1
Sr3 0.000 0.100 0.750 1
Sr4 0.000 0.271 0.120 1
Cd1 0.000 0.368 0.586 1
Sb1 0.000 0.149 0.520 1
Sb2 0.000 0.293 0.750 1
Sb3 0.000 0.495 0.654 1
F1 0.000 0.344 0.250 1

=====

Number 1: calculated volume 180 Å³/cell. Number 2: calculated volume 383 Å³/cell. Number 3: calculated volume 170 Å³/cell. Number 4: calculated volume 556 Å³/cell. Number 5: calculated volume 158 Å³/cell. Number 6: calculated volume 1589 Å³/cell.